[1]
# NbCdO3 PBE-GGA relaxed
data_NbCdO3
_symmetry_space_group_name_H-M 'P 1'
_symmetry_Int_Tables_number 1
_cell_length_a 4.063
_cell_length_b 4.063
_cell_length_c 4.063
_cell_angle_alpha 90.00
_cell_angle_beta 90.00
_cell_angle_gamma 90.00
loop_
_symmetry_equiv_pos_as_xyz
'x,y,z'
loop_
_atom_site_label
_atom_site_fract_x
_atom_site_fract_y
_atom_site_fract_z
Nb1 0.000 0.000 0.000
Cd1 0.500 0.500 0.500
O1 0.000 0.500 0.500
O2 0.500 0.000 0.500
O3 0.500 0.500 0.000
# - Symmetry: Pm-3m
# - DOS at the Fermi energy: 3.99 states/eV/cell
# - Energy: -5.102 eV/atom
# - Formation energy (no corrections): 70 meV per atom

[2]
# FeAs2Cl PBE-GGA relaxed
data_FeAs2Cl
_symmetry_space_group_name_H-M 'P 1'
_symmetry_Int_Tables_number 1
_cell_length_a 4.363
_cell_length_b 3.420
_cell_length_c 7.449
_cell_angle_alpha 90.00
_cell_angle_beta 92.49
_cell_angle_gamma 90.00
loop_
_symmetry_equiv_pos_as_xyz
'x,y,z'
loop_
_atom_site_label
_atom_site_fract_x
_atom_site_fract_y
_atom_site_fract_z
Fe1 0.000 0.000 0.000
As1 0.143 0.500 0.730
As2 0.488 0.000 0.851
Cl1 0.024 0.500 0.212
# - Symmetry: Pm
# - DOS at the Fermi energy: 1.84 states/eV/cell
# - Energy: -5.033 eV/atom
# - Formation energy (no corrections): -131 meV per atom
# - Energy relative to the lowest polymorph listed for this composition: 0.2 kJ/mol of atoms